Entry 1:
Ba2LiCd: PBEsol geometry, meta-GGA SCAN.

a = 4.1400 Å, b = 5.9002 Å, c = 11.8493 Å
α = 90.00°, β = 90.00°, γ = 90.00°
Closest atoms and distances in Å follow each position.
Space group Imm2 (No. 44)
Inequivalent atoms, fractional coordinates:
1 Ba 0.0000 0.0000 0.0000 (multiplicity 2)  4 Cd 3.66, 2 Ba 3.77, 4 Li 3.89-3.97
2 Ba 0.0000 0.5000 0.1976 (multiplicity 2)  2 Cd 3.62, 4 Li 3.75, 2 Ba 3.77
3 Li 0.0000 0.5000 0.7855 (multiplicity 2)  2 Cd 2.82
4 Cd 0.0000 0.0000 0.4473 (multiplicity 2)  2 Li 2.82

Values from the calculation:
calculated volume	36.2	Å³/atom
uncorrected energy	-112.5	eV per formula unit
DOS at the Fermi energy	3.1	states/eV/f.u.
ΔE_f	-0.160	eV per atom
total magnetic moment	0.11	μB/f.u.



Entry 2:
BaLiCd2: PBEsol geometry, meta-GGA SCAN.

a = 4.8543 Å, b = 4.8543 Å, c = 17.2077 Å
α = 90.00°, β = 90.00°, γ = 120.00°
Closest atoms and distances in Å follow each position.
Space group R3m (No. 160, hexagonal axes)
Inequivalent atoms, fractional coordinates:
1 Ba 0.0000 0.0000 0.0000 (multiplicity 3)  1 Li 3.30, 4 Cd 3.43-3.63
2 Li 0.0000 0.0000 0.8081 (multiplicity 3)  6 Cd 2.82-2.97
3 Cd 0.0000 0.0000 0.1991 (multiplicity 3)  3 Cd 2.88, 3 Li 2.97
4 Cd 0.0000 0.0000 0.4951 (multiplicity 3)  3 Li 2.82, 3 Cd 2.88

Values from the calculation:
calculated volume	29.3	Å³/atom
uncorrected energy	-104.0	eV per formula unit
DOS at the Fermi energy	2.8	states/eV/f.u.
ΔE_f	-0.320	eV per atom
total magnetic moment	0.00	μB/f.u.



Entry 3:
BaLi3Cd: PBEsol geometry, meta-GGA SCAN.

a = 5.2592 Å, b = 5.2592 Å, c = 5.2592 Å
α = 90.00°, β = 90.00°, γ = 90.00°
Closest atoms and distances in Å follow each position.
Space group Pm-3m (No. 221)
Inequivalent atoms, fractional coordinates:
1 Ba 0.0000 0.0000 0.0000 (multiplicity 1)  12 Li 3.72
2 Li 0.0000 0.5000 0.5000 (multiplicity 3)  2 Cd 2.63
3 Cd 0.5000 0.5000 0.5000 (multiplicity 1)  6 Li 2.63

Values from the calculation:
calculated volume	29.1	Å³/atom
uncorrected energy	-77.5	eV per formula unit
DOS at the Fermi energy	3.9	states/eV/f.u.
ΔE_f	-0.083	eV per atom
total magnetic moment	0.00	μB/f.u.



Entry 4:
BaLi2Cd2: PBEsol geometry, meta-GGA SCAN.

a = 4.4887 Å, b = 4.4887 Å, c = 13.4777 Å
α = 90.00°, β = 90.00°, γ = 90.00°
Closest atoms and distances in Å follow each position.
Space group I4/mmm (No. 139)
Inequivalent atoms, fractional coordinates:
1 Ba 0.0000 0.0000 0.0000 (multiplicity 2)  8 Cd 3.54
2 Li 0.0000 0.5000 0.2500 (multiplicity 4)  4 Cd 2.88, 4 Li 3.17
3 Cd 0.0000 0.0000 0.3836 (multiplicity 4)  4 Li 2.88, 1 Cd 3.14

Values from the calculation:
calculated volume	27.2	Å³/atom
uncorrected energy	-106.4	eV per formula unit
DOS at the Fermi energy	3.1	states/eV/f.u.
ΔE_f	-0.248	eV per atom
total magnetic moment	0.00	μB/f.u.



Entry 5:
BaLi2Cd: PBEsol geometry, meta-GGA SCAN.

a = 4.8822 Å, b = 4.8822 Å, c = 17.5172 Å
α = 90.00°, β = 90.00°, γ = 120.00°
Closest atoms and distances in Å follow each position.
Space group R3m (No. 160, hexagonal axes)
Inequivalent atoms, fractional coordinates:
1 Ba 0.0000 0.0000 0.0000 (multiplicity 3)  4 Li 3.36-3.75, 4 Cd 3.49-3.67
2 Li 0.0000 0.0000 0.5090 (multiplicity 3)  3 Cd 2.85, 3 Li 2.88
3 Li 0.0000 0.0000 0.8082 (multiplicity 3)  3 Li 2.88, 3 Cd 2.99
4 Cd 0.0000 0.0000 0.1993 (multiplicity 3)  6 Li 2.85-2.99

Values from the calculation:
calculated volume	30.1	Å³/atom
uncorrected energy	-75.5	eV per formula unit
DOS at the Fermi energy	2.8	states/eV/f.u.
ΔE_f	-0.193	eV per atom
total magnetic moment	0.00	μB/f.u.



Entry 6:
BaLi2Cd: PBEsol geometry, meta-GGA SCAN.

a = 3.7915 Å, b = 3.7915 Å, c = 7.8580 Å
α = 90.00°, β = 90.00°, γ = 90.00°
Closest atoms and distances in Å follow each position.
Space group P4mm (No. 99)
Inequivalent atoms, fractional coordinates:
1 Ba 0.0000 0.0000 0.0000 (multiplicity 1)  4 Cd 3.53, 5 Li 3.62-3.83, 4 Ba 3.79
2 Li 0.0000 0.0000 0.4606 (multiplicity 1)  4 Cd 2.99, 4 Li 3.07
3 Li 0.5000 0.5000 0.6513 (multiplicity 1)  1 Cd 2.82, 4 Li 3.07
4 Cd 0.5000 0.5000 0.2924 (multiplicity 1)  5 Li 2.82-2.99

Values from the calculation:
calculated volume	28.2	Å³/atom
uncorrected energy	-75.3	eV per formula unit
DOS at the Fermi energy	2.0	states/eV/f.u.
ΔE_f	-0.135	eV per atom
total magnetic moment	0.07	μB/f.u.



Entry 7:
BaLiCd2: PBEsol geometry, meta-GGA SCAN.

a = 7.7269 Å, b = 7.7269 Å, c = 7.7269 Å
α = 90.00°, β = 90.00°, γ = 90.00°
Closest atoms and distances in Å follow each position.
Space group Fm-3m (No. 225)
Inequivalent atoms, fractional coordinates:
1 Ba 0.0000 0.0000 0.0000 (multiplicity 4)  8 Cd 3.35
2 Li 0.0000 0.0000 0.5000 (multiplicity 4)  8 Cd 3.35
3 Cd 0.2500 0.2500 0.2500 (multiplicity 8)  4 Ba 3.35, 4 Li 3.35

Values from the calculation:
calculated volume	28.8	Å³/atom
uncorrected energy	-103.5	eV per formula unit
DOS at the Fermi energy	4.1	states/eV/f.u.
ΔE_f	-0.193	eV per atom
total magnetic moment	0.00	μB/f.u.



Entry 8:
BaLiCd2: PBEsol geometry, meta-GGA SCAN.

a = 4.8619 Å, b = 4.8619 Å, c = 17.4218 Å
α = 90.00°, β = 90.00°, γ = 120.00°
Closest atoms and distances in Å follow each position.
Space group R-3m (No. 166, hexagonal axes)
Inequivalent atoms, fractional coordinates:
1 Ba 0.0000 0.0000 0.0000 (multiplicity 3)  8 Cd 3.42-3.68
2 Li 0.0000 0.0000 0.5000 (multiplicity 3)  6 Cd 2.85
3 Cd 0.0000 0.0000 0.1964 (multiplicity 6)  3 Li 2.85, 3 Cd 2.99

Values from the calculation:
calculated volume	29.7	Å³/atom
uncorrected energy	-104.1	eV per formula unit
DOS at the Fermi energy	2.1	states/eV/f.u.
ΔE_f	-0.332	eV per atom
total magnetic moment	0.00	μB/f.u.



Entry 9:
Ba4Li2Cd3P6: PBEsol geometry, meta-GGA SCAN.

a = 4.4526 Å, b = 19.7082 Å, c = 16.6911 Å
α = 90.00°, β = 90.00°, γ = 90.00°
Closest atoms and distances in Å follow each position.
Space group Cmcm (No. 63)
Inequivalent atoms, fractional coordinates:
1 Ba 0.0000 0.0161 0.1223 (multiplicity 8)  7 P 3.23-3.44, 3 Li 3.38-3.46, 2 Cd 3.46
2 Ba 0.0000 0.1719 0.5685 (multiplicity 8)  6 P 3.19-3.32
3 Li 0.0000 0.1493 0.2500 (multiplicity 4)  4 P 2.59-2.73, 1 Cd 2.89
4 Li 0.0000 0.4366 0.2500 (multiplicity 4)  3 P 2.50-2.62, 1 Cd 2.77
5 Cd 0.0000 0.2959 0.2500 (multiplicity 4)  4 P 2.67-2.76, 2 Li 2.77-2.89
6 Cd 0.0000 0.3498 0.6247 (multiplicity 8)  4 P 2.61-2.92
7 P 0.0000 0.1210 0.7500 (multiplicity 4)  2 Li 2.50, 2 Cd 2.76
8 P 0.0000 0.2192 0.1185 (multiplicity 8)  1 Li 2.59, 3 Cd 2.61-2.67
9 P 0.0000 0.4305 0.7500 (multiplicity 4)  3 Li 2.62-2.73, 2 Cd 2.63
10 P 0.0000 0.4436 0.0110 (multiplicity 8)  1 P 2.25

Values from the calculation:
calculated volume	24.4	Å³/atom
uncorrected energy	-330.4	eV per formula unit
ΔE_f	-0.916	eV per atom
total magnetic moment	0.00	μB/f.u.



Entry 10:
BaLi2CdPd: PBEsol geometry, meta-GGA SCAN.

a = 5.6076 Å, b = 5.6076 Å, c = 5.2348 Å
α = 90.00°, β = 90.00°, γ = 90.00°
Closest atoms and distances in Å follow each position.
Space group P4/mmm (No. 123)
Inequivalent atoms, fractional coordinates:
1 Ba 0.0000 0.0000 0.0000 (multiplicity 1)  2 Pd 2.62, 4 Li 2.80
2 Li 0.0000 0.5000 0.0000 (multiplicity 2)  2 Ba 2.80
3 Cd 0.5000 0.5000 0.5000 (multiplicity 1)  8 Li 3.84, 4 Pd 3.97
4 Pd 0.0000 0.0000 0.5000 (multiplicity 1)  2 Ba 2.62

Values from the calculation:
calculated volume	32.9	Å³/atom
uncorrected energy	-103.1	eV per formula unit
DOS at the Fermi energy	3.0	states/eV/f.u.
ΔE_f	0.878	eV per atom
total magnetic moment	0.00	μB/f.u.



Entry 11:
BaMg2Cd: PBEsol geometry, meta-GGA SCAN.

a = 4.9357 Å, b = 4.9357 Å, c = 17.9681 Å
α = 90.00°, β = 90.00°, γ = 120.00°
Closest atoms and distances in Å follow each position.
Space group R-3m (No. 166, hexagonal axes)
Inequivalent atoms, fractional coordinates:
1 Ba 0.0000 0.0000 0.0000 (multiplicity 3)  8 Mg 3.61-3.71
2 Mg 0.0000 0.0000 0.2010 (multiplicity 6)  3 Cd 2.92, 3 Mg 3.11
3 Cd 0.0000 0.0000 0.5000 (multiplicity 3)  6 Mg 2.92

Values from the calculation:
calculated volume	31.6	Å³/atom
uncorrected energy	-80.6	eV per formula unit
DOS at the Fermi energy	2.3	states/eV/f.u.
ΔE_f	-0.168	eV per atom
total magnetic moment	0.01	μB/f.u.



Entry 12:
BaMg2Cd: PBEsol geometry, meta-GGA SCAN.

a = 5.0162 Å, b = 5.0162 Å, c = 17.5919 Å
α = 90.00°, β = 90.00°, γ = 120.00°
Closest atoms and distances in Å follow each position.
Space group R3m (No. 160, hexagonal axes)
Inequivalent atoms, fractional coordinates:
1 Ba 0.0000 0.0000 0.0000 (multiplicity 3)  7 Mg 3.51-3.87, 4 Cd 3.52-3.72
2 Mg 0.0000 0.0000 0.1994 (multiplicity 3)  3 Mg 3.05, 3 Cd 3.12
3 Mg 0.0000 0.0000 0.4790 (multiplicity 3)  3 Cd 2.90, 3 Mg 3.05
4 Cd 0.0000 0.0000 0.7997 (multiplicity 3)  6 Mg 2.90-3.12

Values from the calculation:
calculated volume	31.9	Å³/atom
uncorrected energy	-80.6	eV per formula unit
DOS at the Fermi energy	3.0	states/eV/f.u.
ΔE_f	-0.167	eV per atom
total magnetic moment	0.10	μB/f.u.



Entry 13:
BaMg2Cd: PBEsol geometry, meta-GGA SCAN.

a = 7.6938 Å, b = 7.6938 Å, c = 7.6938 Å
α = 90.00°, β = 90.00°, γ = 90.00°
Closest atoms and distances in Å follow each position.
Space group F-43m (No. 216)
Inequivalent atoms, fractional coordinates:
1 Ba 0.0000 0.0000 0.0000 (multiplicity 4)  4 Cd 3.33, 4 Mg 3.33
2 Mg 0.0000 0.0000 0.5000 (multiplicity 4)  4 Mg 3.33, 4 Cd 3.33
3 Mg 0.2500 0.2500 0.2500 (multiplicity 4)  4 Ba 3.33, 4 Mg 3.33
4 Cd 0.2500 0.2500 0.7500 (multiplicity 4)  4 Ba 3.33, 4 Mg 3.33

Values from the calculation:
calculated volume	28.5	Å³/atom
uncorrected energy	-80.4	eV per formula unit
DOS at the Fermi energy	3.2	states/eV/f.u.
ΔE_f	-0.124	eV per atom
total magnetic moment	0.00	μB/f.u.